[1]
# CePu2Hf

A geometry-optimized CePu2Hf structure (PBE, Alexandria via LeMat-Bulk).

abc: 10.664 10.664 10.664
angles: 17.64 17.64 17.64
Element x y z (fractional)
Ce (0.000, 0.000, 0.000)
Pu (0.249, 0.249, 0.249)
Pu (0.751, 0.751, 0.751)
Hf (0.500, 0.500, 0.500)

Summary:
The value obtained for the polymorph energy (0 for the lowest one) is 0.75 kcal/mol of atoms. The formation energy comes out at 0.1738 eV/atom. The space-group type is R-3m. The value obtained for the total energy is -10.96 eV per atom. Its volume is 97.3 Å³/cell.

---

[2]
# Np2Ti3Ge4

A geometry-optimized Np2Ti3Ge4 structure (PBE, Alexandria via LeMat-Bulk).

abc: 7.129 7.124 7.020
angles: 90.00 110.10 90.00
Element x y z (fractional)
Np (0.178, 0.161, 0.057)
Np (0.178, 0.339, 0.557)
Np (0.822, 0.661, 0.443)
Np (0.822, 0.839, 0.943)
Ti (0.252, 0.668, 0.251)
Ti (0.252, 0.832, 0.751)
Ti (0.500, 0.000, 0.500)
Ti (0.500, 0.500, 0.000)
Ti (0.748, 0.168, 0.249)
Ti (0.748, 0.332, 0.749)
Ge (0.091, 0.544, 0.866)
Ge (0.091, 0.956, 0.366)
Ge (0.494, 0.136, 0.861)
Ge (0.494, 0.364, 0.361)
Ge (0.506, 0.636, 0.639)
Ge (0.506, 0.864, 0.139)
Ge (0.909, 0.044, 0.634)
Ge (0.909, 0.456, 0.134)

Summary:
The formation energy comes out at -0.4846 eV/atom. The space-group type is P2_1/c. The value obtained for the total energy is -8.04 eV per atom. Its volume is 334.8 Å³/cell.

---

[3]
# InNiB2

A geometry-optimized InNiB2 structure (PBE, Alexandria via LeMat-Bulk).

abc: 7.664 7.664 7.664
angles: 152.20 152.20 39.73
Element x y z (fractional)
In (0.375, 0.625, 0.750)
In (0.625, 0.375, 0.250)
Ni (0.125, 0.875, 0.250)
Ni (0.875, 0.125, 0.750)
B (0.000, 0.000, 0.000)
B (0.000, 0.000, 0.500)
B (0.000, 0.500, 0.000)
B (0.500, 0.000, 0.500)

Summary:
The formation energy comes out at 0.3298 eV/atom. The space-group type is I4_1/amd. The value obtained for the total energy is -5.14 eV per atom. Its volume is 97.8 Å³/cell.

---

[4]
# BeFeS3

A geometry-optimized BeFeS3 structure (PBE, Alexandria via LeMat-Bulk).

abc: 4.191 4.191 4.191
angles: 90.00 90.00 90.00
Element x y z (fractional)
Be (0.000, 0.000, 0.000)
Fe (0.500, 0.500, 0.500)
S (0.000, 0.000, 0.500)
S (0.000, 0.500, 0.000)
S (0.500, 0.000, 0.000)

Summary:
The value obtained for the polymorph energy (0 for the lowest one) is 2.33 kcal/mol of atoms. The space-group type is Pm-3m. Its raw formation energy is 3.92 eV/f.u. The value obtained for the total energy is -4.13 eV per atom. Its volume is 73.6 Å³/cell.